Material: TaIrOsRu
Method: DFT, GGA-PBE
State: optimized geometry

Calculated values
Energy, eV per atom: -10.67

```
data_TaIrOsRu
_chemical_formula_sum 'Ta1 Ir1 Os1 Ru1'
_cell_length_a 3.889
_cell_length_b 3.927
_cell_length_c 3.936
_cell_angle_alpha 90.00
_cell_angle_beta 90.00
_cell_angle_gamma 90.00
_symmetry_space_group_name_H-M 'P m m m'
_symmetry_Int_Tables_number 47
loop_
_symmetry_equiv_pos_as_xyz
'x,y,z'
'-x,-y,-z'
'-x,-y,z'
'x,y,-z'
'x,-y,-z'
'-x,y,z'
'-x,y,-z'
'x,-y,z'
loop_
_atom_site_label
_atom_site_fract_x
_atom_site_fract_y
_atom_site_fract_z
_atom_site_occupancy
Ta1 0.000 0.000 0.000 1
Ir1 0.500 0.500 0.000 1
Os1 0.000 0.500 0.500 1
Ru1 0.500 0.000 0.500 1
```